Density functional theory data (GGA-PBE) for Er2Cu3AgGe4 after structural relaxation.

a = 4.1040 Å, b = 4.1040 Å, c = 10.5151 Å
α = 90.00°, β = 90.00°, γ = 90.00°
Atoms (fractional coordinates):
Er1 0.0000 0.5000 0.2486
Er2 0.5000 0.0000 0.7514
Cu1 0.0000 0.5000 0.8674
Cu2 0.5000 0.0000 0.1326
Cu3 0.5000 0.5000 0.5000
Ag1 0.0000 0.0000 0.5000
Ge1 0.0000 0.0000 0.0000
Ge2 0.0000 0.5000 0.6456
Ge3 0.5000 0.0000 0.3544
Ge4 0.5000 0.5000 0.0000

## Properties
DFT total energy = -46.62 eV/f.u.
energy of formation = -0.388 eV/atom



Density functional theory data (GGA-PBE) for ErCuAgHg after structural relaxation.

a = 4.8098 Å, b = 4.8098 Å, c = 4.8098 Å
α = 60.00°, β = 60.00°, γ = 60.00°
Atoms (fractional coordinates):
Er1 0.0000 0.0000 0.0000
Cu1 0.2500 0.2500 0.2500
Ag1 0.7500 0.7500 0.7500
Hg1 0.5000 0.5000 0.5000

## Properties
DFT total energy = -12.58 eV/f.u.
energy of formation = -0.192 eV/atom



Density functional theory data (GGA-PBE) for LaErCuAg after structural relaxation.

a = 3.5785 Å, b = 3.5785 Å, c = 7.4533 Å
α = 90.00°, β = 90.00°, γ = 90.00°
Atoms (fractional coordinates):
La1 0.0000 0.0000 0.0000
Er1 0.0000 0.0000 0.5282
Cu1 0.5000 0.5000 0.7335
Ag1 0.5000 0.5000 0.2944

## Properties
ΔE to the lowest computed polymorph = 0.000 eV/f.u.
DFT total energy = -17.45 eV/f.u.
energy of formation = -0.252 eV/atom



Density functional theory data (GGA-PBE) for LaErCuAg after structural relaxation.

a = 5.1651 Å, b = 5.1651 Å, c = 5.1651 Å
α = 60.00°, β = 60.00°, γ = 60.00°
Atoms (fractional coordinates):
La1 0.0000 0.0000 0.0000
Er1 0.5000 0.5000 0.5000
Cu1 0.7500 0.7500 0.7500
Ag1 0.2500 0.2500 0.2500

## Properties
ΔE to the lowest computed polymorph = 0.199 eV/f.u.
DFT total energy = -17.25 eV/f.u.
energy of formation = -0.202 eV/atom



Density functional theory data (GGA-PBE) for LiErCuAg after structural relaxation.

a = 4.7620 Å, b = 4.7620 Å, c = 4.7620 Å
α = 60.00°, β = 60.00°, γ = 60.00°
Atoms (fractional coordinates):
Li1 0.0000 0.0000 0.0000
Er1 0.5000 0.5000 0.5000
Cu1 0.2500 0.2500 0.2500
Ag1 0.7500 0.7500 0.7500

## Properties
DFT total energy = -13.98 eV/f.u.
energy of formation = -0.138 eV/atom



Density functional theory data (GGA-PBE) for ErMgCuAg after structural relaxation.

a = 4.8130 Å, b = 4.8130 Å, c = 4.8130 Å
α = 60.00°, β = 60.00°, γ = 60.00°
Atoms (fractional coordinates):
Er1 0.0000 0.0000 0.0000
Mg1 0.5000 0.5000 0.5000
Cu1 0.7500 0.7500 0.7500
Ag1 0.2500 0.2500 0.2500

## Properties
DFT total energy = -14.02 eV/f.u.
energy of formation = -0.228 eV/atom



Density functional theory data (GGA-PBE) for NdErCuAg after structural relaxation.

a = 3.5580 Å, b = 3.5580 Å, c = 7.3535 Å
α = 90.00°, β = 90.00°, γ = 90.00°
Atoms (fractional coordinates):
Nd1 0.0000 0.0000 0.0000
Er1 0.0000 0.0000 0.5274
Cu1 0.5000 0.5000 0.7401
Ag1 0.5000 0.5000 0.2865

## Properties
ΔE to the lowest computed polymorph = 0.000 eV/f.u.
DFT total energy = -17.30 eV/f.u.
energy of formation = -0.254 eV/atom



Density functional theory data (GGA-PBE) for NdErCuAg after structural relaxation.

a = 5.1101 Å, b = 5.1101 Å, c = 5.1101 Å
α = 60.00°, β = 60.00°, γ = 60.00°
Atoms (fractional coordinates):
Nd1 0.0000 0.0000 0.0000
Er1 0.5000 0.5000 0.5000
Cu1 0.7500 0.7500 0.7500
Ag1 0.2500 0.2500 0.2500

## Properties
ΔE to the lowest computed polymorph = 0.149 eV/f.u.
DFT total energy = -17.15 eV/f.u.
energy of formation = -0.217 eV/atom



Density functional theory data (GGA-PBE) for Er4CuAgPd2 after structural relaxation.

a = 8.5774 Å, b = 8.5774 Å, c = 8.5774 Å
α = 33.58°, β = 33.58°, γ = 33.58°
Atoms (fractional coordinates):
Er1 0.1220 0.1220 0.1220
Er2 0.3723 0.3723 0.3723
Er3 0.6277 0.6277 0.6277
Er4 0.8780 0.8780 0.8780
Cu1 0.0000 0.0000 0.0000
Ag1 0.5000 0.5000 0.5000
Pd1 0.2491 0.2491 0.2491
Pd2 0.7509 0.7509 0.7509

## Properties
DFT total energy = -40.43 eV/f.u.
energy of formation = -0.605 eV/atom



Density functional theory data (GGA-PBE) for PmErCuAg after structural relaxation.

a = 3.5514 Å, b = 3.5514 Å, c = 7.3020 Å
α = 90.00°, β = 90.00°, γ = 90.00°
Atoms (fractional coordinates):
Pm1 0.0000 0.0000 0.0000
Er1 0.0000 0.0000 0.4726
Cu1 0.5000 0.5000 0.2566
Ag1 0.5000 0.5000 0.7169

## Properties
ΔE to the lowest computed polymorph = 0.000 eV/f.u.
DFT total energy = -17.31 eV/f.u.
energy of formation = -0.262 eV/atom



Density functional theory data (GGA-PBE) for PmErCuAg after structural relaxation.

a = 5.0897 Å, b = 5.0897 Å, c = 5.0897 Å
α = 60.00°, β = 60.00°, γ = 60.00°
Atoms (fractional coordinates):
Pm1 0.0000 0.0000 0.0000
Er1 0.5000 0.5000 0.5000
Cu1 0.2500 0.2500 0.2500
Ag1 0.7500 0.7500 0.7500

## Properties
ΔE to the lowest computed polymorph = 0.123 eV/f.u.
DFT total energy = -17.19 eV/f.u.
energy of formation = -0.231 eV/atom



Density functional theory data (GGA-PBE) for PrErCuAg after structural relaxation.

a = 3.5690 Å, b = 3.5690 Å, c = 7.3899 Å
α = 90.00°, β = 90.00°, γ = 90.00°
Atoms (fractional coordinates):
Pr1 0.0000 0.0000 0.0000
Er1 0.0000 0.0000 0.5271
Cu1 0.5000 0.5000 0.7356
Ag1 0.5000 0.5000 0.2900

## Properties
ΔE to the lowest computed polymorph = 0.000 eV/f.u.
DFT total energy = -17.28 eV/f.u.
energy of formation = -0.247 eV/atom



Density functional theory data (GGA-PBE) for PrErCuAg after structural relaxation.

a = 5.1319 Å, b = 5.1319 Å, c = 5.1319 Å
α = 60.00°, β = 60.00°, γ = 60.00°
Atoms (fractional coordinates):
Pr1 0.0000 0.0000 0.0000
Er1 0.5000 0.5000 0.5000
Cu1 0.2500 0.2500 0.2500
Ag1 0.7500 0.7500 0.7500

## Properties
ΔE to the lowest computed polymorph = 0.174 eV/f.u.
DFT total energy = -17.10 eV/f.u.
energy of formation = -0.203 eV/atom



Density functional theory data (GGA-PBE) for ErCuAgPt after structural relaxation.

a = 4.6918 Å, b = 4.6918 Å, c = 4.6918 Å
α = 60.00°, β = 60.00°, γ = 60.00°
Atoms (fractional coordinates):
Er1 0.0000 0.0000 0.0000
Cu1 0.2500 0.2500 0.2500
Ag1 0.5000 0.5000 0.5000
Pt1 0.7500 0.7500 0.7500

## Properties
DFT total energy = -19.50 eV/f.u.
energy of formation = -0.488 eV/atom



Density functional theory data (GGA-PBE) for ErPuCuAg after structural relaxation.

a = 5.0464 Å, b = 5.0464 Å, c = 5.0464 Å
α = 60.00°, β = 60.00°, γ = 60.00°
Atoms (fractional coordinates):
Er1 0.0000 0.0000 0.0000
Pu1 0.5000 0.5000 0.5000
Cu1 0.7500 0.7500 0.7500
Ag1 0.2500 0.2500 0.2500

## Properties
DFT total energy = -25.93 eV/f.u.
energy of formation = -0.023 eV/atom



Density functional theory data (GGA-PBE) for ErCuAgRh after structural relaxation.

a = 4.6376 Å, b = 4.6376 Å, c = 4.6376 Å
α = 60.00°, β = 60.00°, γ = 60.00°
Atoms (fractional coordinates):
Er1 0.0000 0.0000 0.0000
Cu1 0.2500 0.2500 0.2500
Ag1 0.5000 0.5000 0.5000
Rh1 0.7500 0.7500 0.7500

## Properties
DFT total energy = -19.96 eV/f.u.
energy of formation = -0.274 eV/atom



Density functional theory data (GGA-PBE) for Er4CuAgRu2 after structural relaxation.

a = 8.4284 Å, b = 8.4284 Å, c = 8.4284 Å
α = 33.55°, β = 33.55°, γ = 33.55°
Atoms (fractional coordinates):
Er1 0.1227 0.1227 0.1227
Er2 0.3728 0.3728 0.3728
Er3 0.6272 0.6272 0.6272
Er4 0.8773 0.8773 0.8773
Cu1 0.0000 0.0000 0.0000
Ag1 0.5000 0.5000 0.5000
Ru1 0.2503 0.2503 0.2503
Ru2 0.7497 0.7497 0.7497

## Properties
DFT total energy = -46.85 eV/f.u.
energy of formation = -0.387 eV/atom



Density functional theory data (GGA-PBE) for Er2CuAgS4 after structural relaxation.

a = 7.7407 Å, b = 7.7407 Å, c = 7.7407 Å
α = 115.08°, β = 113.90°, γ = 99.84°
Atoms (fractional coordinates):
Er1 0.0000 0.0000 0.0000
Er2 0.5000 0.0000 0.0000
Er3 0.5000 0.0000 0.5000
Er4 0.5000 0.5000 0.5000
Cu1 0.0000 0.0000 0.5000
Cu2 0.0000 0.5000 0.0000
Ag1 0.0000 0.5000 0.5000
Ag2 0.5000 0.5000 0.0000
S1 0.2251 0.1928 0.4677
S2 0.2251 0.7574 0.0323
S3 0.2806 0.7410 0.5396
S4 0.2986 0.2590 0.0396
S5 0.7014 0.7410 0.9604
S6 0.7194 0.2590 0.4604
S7 0.7749 0.2426 0.9677
S8 0.7749 0.8072 0.5323

## Properties
E_form (uncorrected) = -1.24 eV per atom
DFT total energy = -42.50 eV/f.u.



Density functional theory data (GGA-PBE) for ErCuAg2Se4 after structural relaxation.

a = 7.1575 Å, b = 7.1575 Å, c = 12.9885 Å
α = 90.00°, β = 90.00°, γ = 148.00°
Atoms (fractional coordinates):
Er1 0.0942 0.9058 0.7500
Er2 0.9058 0.0942 0.2500
Cu1 0.1696 0.8304 0.2500
Cu2 0.8304 0.1696 0.7500
Ag1 0.3710 0.6290 0.5602
Ag2 0.3710 0.6290 0.9398
Ag3 0.6290 0.3710 0.0602
Ag4 0.6290 0.3710 0.4398
Se1 0.0000 0.0000 0.0000
Se2 0.0000 0.0000 0.5000
Se3 0.3050 0.6950 0.1282
Se4 0.3050 0.6950 0.3718
Se5 0.4384 0.5616 0.7500
Se6 0.5616 0.4384 0.2500
Se7 0.6950 0.3050 0.6282
Se8 0.6950 0.3050 0.8718

## Properties
E_form (uncorrected) = -0.54 eV per atom
DFT total energy = -32.61 eV/f.u.



Density functional theory data (GGA-PBE) for ErTlCuAg after structural relaxation.

a = 4.8589 Å, b = 4.8589 Å, c = 4.8589 Å
α = 60.00°, β = 60.00°, γ = 60.00°
Atoms (fractional coordinates):
Er1 0.0000 0.0000 0.0000
Tl1 0.5000 0.5000 0.5000
Cu1 0.7500 0.7500 0.7500
Ag1 0.2500 0.2500 0.2500

## Properties
DFT total energy = -14.54 eV/f.u.
energy of formation = -0.167 eV/atom



Density functional theory data (GGA-PBE) for Er2Zn12Cu3Ag after structural relaxation.

a = 6.7316 Å, b = 6.7316 Å, c = 6.7316 Å
α = 85.66°, β = 85.66°, γ = 85.66°
Atoms (fractional coordinates):
Er1 0.2502 0.2502 0.2502
Er2 0.7498 0.7498 0.7498
Zn1 0.0714 0.0714 0.6540
Zn2 0.0714 0.6540 0.0714
Zn3 0.2098 0.6993 0.6993
Zn4 0.3007 0.3007 0.7902
Zn5 0.3007 0.7902 0.3007
Zn6 0.3460 0.9286 0.9286
Zn7 0.6540 0.0714 0.0714
Zn8 0.6993 0.2098 0.6993
Zn9 0.6993 0.6993 0.2097
Zn10 0.7903 0.3007 0.3007
Zn11 0.9286 0.3460 0.9286
Zn12 0.9286 0.9286 0.3460
Cu1 0.0000 0.5000 0.5000
Cu2 0.5000 0.0000 0.5000
Cu3 0.5000 0.5000 0.0000
Ag1 0.5000 0.5000 0.5000

## Properties
DFT total energy = -39.91 eV/f.u.
energy of formation = -0.020 eV/atom



Density functional theory data (GGA-PBE) for Er4ZnCuAg2 after structural relaxation.

a = 8.7110 Å, b = 8.7110 Å, c = 8.7110 Å
α = 33.51°, β = 33.51°, γ = 33.51°
Atoms (fractional coordinates):
Er1 0.1227 0.1227 0.1227
Er2 0.3729 0.3729 0.3729
Er3 0.6271 0.6271 0.6271
Er4 0.8773 0.8773 0.8773
Zn1 0.5000 0.5000 0.5000
Cu1 0.0000 0.0000 0.0000
Ag1 0.2474 0.2474 0.2474
Ag2 0.7526 0.7526 0.7526

## Properties
DFT total energy = -31.80 eV/f.u.
energy of formation = -0.310 eV/atom



Density functional theory data (GGA-PBE) for ErZn5Cu2Ag after structural relaxation.

a = 4.6282 Å, b = 4.6282 Å, c = 7.1378 Å
α = 90.00°, β = 90.00°, γ = 90.00°
Atoms (fractional coordinates):
Er1 0.0000 0.0000 0.0000
Zn1 0.0000 0.5000 0.2711
Zn2 0.0000 0.5000 0.7289
Zn3 0.5000 0.0000 0.2711
Zn4 0.5000 0.0000 0.7289
Zn5 0.5000 0.5000 0.0000
Cu1 0.5000 0.5000 0.3380
Cu2 0.5000 0.5000 0.6620
Ag1 0.0000 0.0000 0.5000

## Properties
DFT total energy = -22.08 eV/f.u.
energy of formation = -0.011 eV/atom



Density functional theory data (GGA-PBE) for Er4ZnCu2Ag after structural relaxation.

a = 8.6102 Å, b = 8.6102 Å, c = 8.6102 Å
α = 33.45°, β = 33.45°, γ = 33.45°
Atoms (fractional coordinates):
Er1 0.1237 0.1237 0.1237
Er2 0.3740 0.3740 0.3740
Er3 0.6260 0.6260 0.6260
Er4 0.8763 0.8763 0.8763
Zn1 0.0000 0.0000 0.0000
Cu1 0.2518 0.2518 0.2518
Cu2 0.7482 0.7482 0.7482
Ag1 0.5000 0.5000 0.5000

## Properties
DFT total energy = -32.93 eV/f.u.
energy of formation = -0.295 eV/atom



Density functional theory data (GGA-PBE) for Er2Zn3Cu12Ag after structural relaxation.

a = 9.4418 Å, b = 9.4418 Å, c = 9.4418 Å
α = 39.08°, β = 39.08°, γ = 39.08°
Atoms (fractional coordinates):
Er1 0.1402 0.1402 0.1402
Er2 0.8598 0.8598 0.8598
Zn1 0.0000 0.5000 0.5000
Zn2 0.5000 0.0000 0.5000
Zn3 0.5000 0.5000 0.0000
Cu1 0.0484 0.6277 0.6277
Cu2 0.0818 0.0818 0.7028
Cu3 0.0818 0.7028 0.0818
Cu4 0.2972 0.9182 0.9182
Cu5 0.3723 0.3723 0.9516
Cu6 0.3723 0.9516 0.3723
Cu7 0.6277 0.0484 0.6277
Cu8 0.6277 0.6277 0.0484
Cu9 0.7028 0.0818 0.0818
Cu10 0.9182 0.2972 0.9182
Cu11 0.9182 0.9182 0.2972
Cu12 0.9516 0.3723 0.3723
Ag1 0.5000 0.5000 0.5000

## Properties
DFT total energy = -62.70 eV/f.u.
energy of formation = 0.125 eV/atom



Density functional theory data (GGA-PBE) for Eu2CuAg after structural relaxation.

a = 3.7195 Å, b = 3.7195 Å, c = 7.5275 Å
α = 90.00°, β = 90.00°, γ = 90.00°
Atoms (fractional coordinates):
Eu1 0.0000 0.0000 0.2373
Eu2 0.0000 0.0000 0.7627
Cu1 0.5000 0.5000 0.0000
Ag1 0.5000 0.5000 0.5000

## Properties
DFT total energy = -28.23 eV/f.u.
energy of formation = -0.184 eV/atom